The following is a DFT calculation (PBE) of a relaxed structure of BaPmPb2.

For the formation energy from the elements, the calculation gives -2.03 eV per formula unit. As for the total energy: -0.1481 Ha/atom. The total magnetization is 0.0000 μB/atom.

Cell lengths 4.244, 4.244, 7.745 Å; angles 90.00, 90.00, 90.00 degrees
Positions (direct):
Pb 0.000 0.000 0.792
Pb 0.000 0.000 0.208
Ba 0.500 0.500 0.500
Pm 0.500 0.500 0.000